Record 1
TlZn2Hg | PBE | optimized geometry

Geometry as POSCAR:
```
TlZn2Hg
1.0
1.734 1.001 8.567
-1.734 1.001 8.567
0.000 -2.002 8.567
Tl Zn Hg
1 2 1
direct
0.000 0.000 0.000
0.244 0.244 0.244
0.756 0.756 0.756
0.500 0.500 0.500
```

Properties
Total energy   -4.627 eV per cell

Record 2
Tl17ZnHg11 | PBE | optimized geometry

Geometry as POSCAR:
```
Tl17ZnHg11
1.0
5.940 -8.446 0.000
5.940 8.446 0.000
-5.916 0.000 8.311
Tl Zn Hg
17 1 11
direct
0.000 0.000 0.000
0.002 0.002 0.363
0.002 0.358 0.998
0.004 0.616 0.321
0.005 0.330 0.612
0.283 0.676 0.675
0.307 0.621 0.000
0.330 0.005 0.612
0.358 0.002 0.998
0.392 0.392 0.730
0.399 0.724 0.390
0.616 0.004 0.321
0.621 0.307 0.000
0.633 0.633 0.634
0.668 0.668 0.278
0.676 0.283 0.675
0.724 0.399 0.390
0.166 0.166 0.777
0.012 0.827 0.640
0.190 0.844 0.199
0.205 0.383 0.363
0.344 0.344 0.112
0.383 0.205 0.363
0.627 0.806 0.001
0.638 0.986 0.812
0.806 0.627 0.001
0.827 0.012 0.640
0.844 0.190 0.199
0.986 0.638 0.812
```

Properties
Total energy   -44.600 eV per cell

Record 3
Tl2ZnHg | PBE | optimized geometry

Geometry as POSCAR:
```
Tl2ZnHg
1.0
3.838 0.000 0.000
0.000 4.820 0.000
-1.608 0.000 5.764
Tl Zn Hg
2 1 1
direct
0.000 0.000 0.000
0.300 0.500 0.659
0.629 0.500 0.182
0.677 0.000 0.453
```

Properties
Total energy   -5.964 eV per cell

Record 4
Tl2ZnHg12 | PBE | optimized geometry

Geometry as POSCAR:
```
Tl2ZnHg12
1.0
6.279 0.000 0.000
0.000 6.279 0.000
0.000 0.000 22.108
Tl Zn Hg
4 2 24
direct
0.250 0.750 0.233
0.250 0.750 0.767
0.750 0.250 0.233
0.750 0.250 0.767
0.250 0.750 0.000
0.750 0.250 0.000
0.000 0.000 0.084
0.000 0.000 0.916
0.000 0.500 0.084
0.000 0.500 0.916
0.058 0.558 0.431
0.058 0.942 0.569
0.250 0.250 0.187
0.250 0.250 0.326
0.250 0.250 0.674
0.250 0.250 0.813
0.442 0.558 0.569
0.442 0.942 0.431
0.500 0.000 0.084
0.500 0.000 0.916
0.500 0.500 0.084
0.500 0.500 0.916
0.558 0.058 0.569
0.558 0.442 0.431
0.750 0.750 0.187
0.750 0.750 0.326
0.750 0.750 0.674
0.750 0.750 0.813
0.942 0.058 0.431
0.942 0.442 0.569
```

Properties
Total energy   -18.392 eV per cell

Record 5
Tl5Zn2Hg12 | PBE | optimized geometry

Geometry as POSCAR:
```
Tl5Zn2Hg12
1.0
9.682 -3.204 0.000
9.682 3.204 0.000
-2.292 0.000 8.225
Tl Zn Hg
5 2 12
direct
0.000 0.000 0.000
0.237 0.237 0.620
0.328 0.328 0.311
0.672 0.672 0.689
0.763 0.763 0.380
0.295 0.705 0.500
0.705 0.295 0.500
0.063 0.582 0.955
0.086 0.086 0.718
0.136 0.652 0.671
0.348 0.864 0.329
0.418 0.937 0.045
0.464 0.464 0.142
0.536 0.536 0.858
0.582 0.063 0.955
0.652 0.136 0.671
0.864 0.348 0.329
0.914 0.914 0.282
0.937 0.418 0.045
```

Properties
Total energy   -17.499 eV per cell

Record 6
Tl2ZnHg | PBE | optimized geometry

Geometry as POSCAR:
```
Tl2ZnHg
1.0
3.472 0.000 0.000
0.000 3.522 0.000
0.000 0.000 8.602
Tl Zn Hg
2 1 1
direct
0.000 0.000 0.000
0.500 0.500 0.315
0.000 0.000 0.545
0.500 0.500 0.728
```

Properties
Total energy   -5.999 eV per cell

Record 7
TlZn2Hg | PBE | optimized geometry

Geometry as POSCAR:
```
TlZn2Hg
1.0
3.902 0.000 0.000
0.000 4.784 0.000
0.000 0.000 4.795
Tl Zn Hg
1 2 1
direct
0.000 0.000 0.000
0.500 0.000 0.500
0.500 0.500 0.000
0.000 0.500 0.500
```

Properties
Total energy   -4.541 eV per cell

Record 8
Tl2ZnHg | PBE | optimized geometry

Geometry as POSCAR:
```
Tl2ZnHg
1.0
0.000 3.771 3.771
3.771 0.000 3.771
3.771 3.771 0.000
Tl Zn Hg
2 1 1
direct
0.250 0.250 0.250
0.750 0.750 0.750
0.000 0.000 0.000
0.500 0.500 0.500
```

Properties
Total energy   -5.854 eV per cell

Record 9
Tl12ZnHg6 | PBE | optimized geometry

Geometry as POSCAR:
```
Tl12ZnHg6
1.0
7.326 4.230 3.063
-7.326 4.230 3.063
0.000 -8.459 3.063
Tl Zn Hg
12 1 6
direct
0.042 0.695 0.056
0.056 0.042 0.695
0.217 0.492 0.758
0.242 0.783 0.508
0.305 0.944 0.958
0.492 0.758 0.217
0.508 0.242 0.783
0.695 0.056 0.042
0.758 0.217 0.492
0.783 0.508 0.242
0.944 0.958 0.305
0.958 0.305 0.944
0.500 0.500 0.500
0.119 0.361 0.348
0.348 0.119 0.361
0.361 0.348 0.119
0.639 0.652 0.881
0.652 0.881 0.639
0.881 0.639 0.652
```

Properties
Total energy   -30.725 eV per cell

Record 10
TlZn2Hg | PBE | optimized geometry

Geometry as POSCAR:
```
TlZn2Hg
1.0
1.734 1.001 8.666
-1.734 1.001 8.666
0.000 -2.002 8.666
Tl Zn Hg
1 2 1
direct
0.000 0.000 0.000
0.486 0.486 0.486
0.755 0.755 0.755
0.232 0.232 0.232
```

Properties
Total energy   -4.721 eV per cell

Record 11
Tl2ZnHg | PBE | optimized geometry

Geometry as POSCAR:
```
Tl2ZnHg
1.0
-2.254 2.254 5.272
2.254 -2.254 5.272
2.254 2.254 -5.272
Tl Zn Hg
2 1 1
direct
0.000 0.000 0.000
0.750 0.250 0.500
0.250 0.750 0.500
0.500 0.500 0.000
```

Properties
Total energy   -5.826 eV per cell

Record 12
Tl2ZnHg | PBE | optimized geometry

Geometry as POSCAR:
```
Tl2ZnHg
1.0
3.575 0.000 0.000
0.000 3.978 0.000
-0.337 0.000 7.477
Tl Zn Hg
2 1 1
direct
0.008 0.000 0.267
0.992 0.000 0.733
0.500 0.500 0.500
0.500 0.500 0.000
```

Properties
Total energy   -5.937 eV per cell

Record 13
TlZnHg2 | PBE | optimized geometry

Geometry as POSCAR:
```
TlZnHg2
1.0
3.528 0.000 0.000
0.000 4.668 0.000
-1.245 0.000 6.173
Tl Zn Hg
1 1 2
direct
0.000 0.000 0.000
0.550 0.500 0.204
0.355 0.500 0.699
0.740 0.000 0.475
```

Properties
Total energy   -3.867 eV per cell

Record 14
TlZnHg4 | PBE | optimized geometry

Geometry as POSCAR:
```
TlZnHg4
1.0
0.000 4.377 4.377
4.377 0.000 4.377
4.377 4.377 0.000
Tl Zn Hg
1 1 4
direct
0.000 0.000 0.000
0.750 0.750 0.750
0.375 0.375 0.375
0.375 0.375 0.874
0.375 0.874 0.375
0.874 0.375 0.375
```

Properties
Total energy   -3.966 eV per cell

Record 15
Tl2ZnHg | PBE | optimized geometry

Geometry as POSCAR:
```
Tl2ZnHg
1.0
1.770 1.022 9.885
-1.770 1.022 9.885
0.000 -2.044 9.885
Tl Zn Hg
2 1 1
direct
0.241 0.241 0.241
0.759 0.759 0.759
0.500 0.500 0.500
0.000 0.000 0.000
```

Properties
Total energy   -5.948 eV per cell

Record 16
Tl6ZnHg10 | PBE | optimized geometry

Geometry as POSCAR:
```
Tl6ZnHg10
1.0
9.233 0.000 0.000
-4.616 7.996 0.000
0.000 0.000 6.596
Tl Zn Hg
6 1 10
direct
0.000 0.398 0.240
0.000 0.602 0.760
0.398 0.000 0.240
0.398 0.398 0.760
0.602 0.000 0.760
0.602 0.602 0.240
0.000 0.000 0.000
0.000 0.237 0.710
0.000 0.763 0.290
0.237 0.000 0.710
0.237 0.237 0.290
0.333 0.667 0.000
0.333 0.667 0.500
0.667 0.333 0.000
0.667 0.333 0.500
0.763 0.000 0.290
0.763 0.763 0.710
```

Properties
Total energy   -18.033 eV per cell

Record 17
TlZnHg2 | PBE | optimized geometry

Geometry as POSCAR:
```
TlZnHg2
1.0
-1.836 2.657 5.229
1.836 -2.657 5.229
1.836 2.657 -5.229
Tl Zn Hg
1 1 2
direct
0.000 0.000 0.000
0.236 0.736 0.500
0.446 0.446 0.000
0.718 0.218 0.500
```

Properties
Total energy   -3.893 eV per cell

Record 18
Tl3Zn5Hg12 | PBE | optimized geometry

Geometry as POSCAR:
```
Tl3Zn5Hg12
1.0
-8.439 8.439 8.439
8.439 -8.439 8.439
8.439 8.439 -8.439
Tl Zn Hg
12 20 48
direct
0.125 0.250 0.375
0.125 0.375 0.750
0.250 0.375 0.125
0.250 0.875 0.625
0.375 0.125 0.250
0.375 0.750 0.125
0.625 0.250 0.875
0.625 0.875 0.750
0.750 0.125 0.375
0.750 0.625 0.875
0.875 0.625 0.250
0.875 0.750 0.625
0.000 0.000 0.000
0.000 0.000 0.500
0.000 0.500 0.000
0.000 0.500 0.500
0.125 0.750 0.875
0.125 0.875 0.250
0.250 0.125 0.875
0.250 0.625 0.375
0.375 0.250 0.625
0.375 0.625 0.750
0.500 0.000 0.000
0.500 0.000 0.500
0.500 0.500 0.000
0.500 0.500 0.500
0.625 0.375 0.250
0.625 0.750 0.375
0.750 0.375 0.625
0.750 0.875 0.125
0.875 0.125 0.750
0.875 0.250 0.125
0.031 0.211 0.099
0.031 0.320 0.933
0.067 0.599 0.387
0.067 0.969 0.680
0.099 0.031 0.211
0.099 0.567 0.887
0.113 0.711 0.680
0.113 0.901 0.433
0.180 0.211 0.613
0.180 0.469 0.567
0.211 0.099 0.031
0.211 0.613 0.180
0.289 0.320 0.887
0.289 0.469 0.401
0.320 0.887 0.289
0.320 0.933 0.031
0.387 0.067 0.599
0.387 0.820 0.789
0.401 0.289 0.469
0.401 0.613 0.933
0.433 0.113 0.901
0.433 0.820 0.531
0.469 0.401 0.289
0.469 0.567 0.180
0.531 0.433 0.820
0.531 0.599 0.711
0.567 0.180 0.469
0.567 0.887 0.099
0.599 0.387 0.067
0.599 0.711 0.531
0.613 0.180 0.211
0.613 0.933 0.401
0.680 0.067 0.969
0.680 0.113 0.711
0.711 0.531 0.599
0.711 0.680 0.113
0.789 0.387 0.820
0.789 0.901 0.969
0.820 0.531 0.433
0.820 0.789 0.387
0.887 0.099 0.567
0.887 0.289 0.320
0.901 0.433 0.113
0.901 0.969 0.789
0.933 0.031 0.320
0.933 0.401 0.613
0.969 0.680 0.067
0.969 0.789 0.901
```

Properties
Total energy   -57.156 eV per cell

Record 19
Tl3ZnHg5 | PBE | optimized geometry

Geometry as POSCAR:
```
Tl3ZnHg5
1.0
9.333 0.000 0.000
-4.666 8.083 0.000
0.000 0.000 6.558
Tl Zn Hg
6 2 10
direct
0.000 0.395 0.250
0.000 0.605 0.750
0.395 0.000 0.250
0.395 0.395 0.750
0.605 0.000 0.750
0.605 0.605 0.250
0.000 0.000 0.000
0.000 0.000 0.500
0.000 0.256 0.750
0.000 0.744 0.250
0.256 0.000 0.750
0.256 0.256 0.250
0.333 0.667 0.000
0.333 0.667 0.500
0.667 0.333 0.000
0.667 0.333 0.500
0.744 0.000 0.250
0.744 0.744 0.750
```

Properties
Total energy   -19.207 eV per cell